SrLa, optimized geometry, DFT PBE-GGA; space group = No. 59; DFT formation energy = 0.1297 eV per atom; polymorph energy (0 for the lowest one) = 68 meV/atom; D(E_F) = 3.4 states/eV/f.u.; volume = 43.74 Å³/atom
1.0
3.910 0.000 0.000
0.000 6.291 0.000
0.000 0.000 7.113
Sr La
2 2
direct
0.250 0.250 0.094
0.750 0.750 0.906
0.250 0.750 0.425
0.750 0.250 0.575

---

K2CoW, optimized geometry, DFT PBE-GGA; space group = No. 65; DFT formation energy = 1.5877 eV per atom; polymorph energy (0 for the lowest one) = 740 meV/atom; D(E_F) = 3.3 states/eV/f.u.; volume = 21.60 Å³/atom
1.0
2.736 -5.859 0.000
2.736 5.859 0.000
0.000 0.000 2.695
K Co W
2 1 1
direct
0.000 0.500 0.000
0.500 0.000 0.000
0.000 0.000 0.500
0.500 0.500 0.500

---

- Which formula does entry 2 have?
  K2CoW